No. 1
{
  "formula": "Cs3LaPu2Te6",
  "functional": "PBE",
  "state": "relaxed",
  "e_form_raw_kj_per_mol_atoms": -118.5,
  "space_group": "C2/m",
  "crystal_system": "monoclinic",
  "lattice": [[4.060, -7.032, 0.000], [4.060, 7.032, 0.000], [-2.708, 0.000, 8.890]],
  "species": ["Cs", "Cs", "Cs", "La", "Pu", "Pu", "Te", "Te", "Te", "Te", "Te", "Te"],
  "frac_coords": [[0.000, 0.000, 0.000], [0.336, 0.664, 0.000], [0.664, 0.336, 0.000], [0.500, 0.500, 0.500], [0.167, 0.833, 0.500], [0.833, 0.167, 0.500], [0.095, 0.436, 0.308], [0.222, 0.222, 0.691], [0.436, 0.095, 0.308], [0.564, 0.905, 0.692], [0.778, 0.778, 0.309], [0.905, 0.564, 0.692]]
}



No. 2
{
  "formula": "Cs3La2PuTe6",
  "functional": "PBE",
  "state": "relaxed",
  "e_form_raw_kj_per_mol_atoms": -130.8,
  "space_group": "C2/m",
  "crystal_system": "monoclinic",
  "lattice": [[4.109, -7.118, 0.000], [4.109, 7.118, 0.000], [-2.740, 0.000, 8.892]],
  "species": ["Cs", "Cs", "Cs", "La", "La", "Pu", "Te", "Te", "Te", "Te", "Te", "Te"],
  "frac_coords": [[0.000, 0.000, 0.000], [0.332, 0.668, 0.000], [0.668, 0.332, 0.000], [0.166, 0.834, 0.500], [0.834, 0.166, 0.500], [0.500, 0.500, 0.500], [0.109, 0.436, 0.307], [0.238, 0.238, 0.694], [0.436, 0.109, 0.307], [0.564, 0.891, 0.693], [0.762, 0.762, 0.306], [0.891, 0.564, 0.693]]
}



No. 3
{
  "formula": "CsRbLa3",
  "functional": "PBE",
  "state": "relaxed",
  "polymorph_energy_mev_per_atom": 0,
  "ef_kj_per_mol_fu": 448.7,
  "space_group": "Pm-3m",
  "crystal_system": "cubic",
  "lattice": [[6.196, 0.000, 0.000], [0.000, 6.196, 0.000], [0.000, 0.000, 6.196]],
  "species": ["Cs", "Rb", "La", "La", "La"],
  "frac_coords": [[0.000, 0.000, 0.000], [0.500, 0.500, 0.500], [0.000, 0.000, 0.500], [0.000, 0.500, 0.000], [0.500, 0.000, 0.000]]
}



No. 4
{
  "formula": "CsRbLa2",
  "functional": "PBE",
  "state": "relaxed",
  "ef_kj_per_mol_fu": 322.2,
  "space_group": "Fm-3m",
  "crystal_system": "cubic",
  "lattice": [[0.000, 4.657, 4.657], [4.657, 0.000, 4.657], [4.657, 4.657, 0.000]],
  "species": ["Cs", "Rb", "La", "La"],
  "frac_coords": [[0.000, 0.000, 0.000], [0.500, 0.500, 0.500], [0.250, 0.250, 0.250], [0.750, 0.750, 0.750]]
}